Material: FePt2W
Method: DFT, PBEsol
State: optimized geometry

Properties
space-group type = No. 8
energy = -37.34 eV per formula unit
total magnetization = 0.665 μB/atom
crystal system = monoclinic

a = 2.709 Å, b = 4.698 Å, c = 4.757 Å
α = 99.88°, β = 90.00°, γ = 106.75°
Site moments in Bohr magnetons follow the coordinates.
Element x y z (fractional)
Fe 0.248 0.495 0.760  2.57
Pt 0.995 0.989 0.979  -0.12
Pt 0.753 0.506 0.269  0.11
W 0.505 0.009 0.492  0.10

=====

Material: FePtW2
Method: DFT, PBEsol
State: optimized geometry

Properties
relative energy among the computed polymorphs = 18.4 meV per atom
space-group type = No. 10
energy = -43.81 eV per formula unit
total magnetization = 0.000 μB/atom
crystal system = monoclinic

a = 2.711 Å, b = 3.799 Å, c = 5.444 Å
α = 90.00°, β = 90.09°, γ = 90.00°
Element x y z (fractional)
Pt 0.500 0.500 0.500
W 0.001 0.000 0.769
Fe 0.500 0.500 0.000
W 0.999 0.000 0.231

=====

Material: FePt2W
Method: DFT, PBEsol
State: optimized geometry

Properties
space-group type = No. 65
energy = -37.32 eV per formula unit
total magnetization = 0.727 μB/atom
crystal system = orthorhombic

a = 2.695 Å, b = 4.771 Å, c = 4.771 Å
α = 111.27°, β = 90.00°, γ = 90.00°
Site moments in Bohr magnetons follow the coordinates.
Element x y z (fractional)
Pt 0.000 0.500 0.000  -0.08
Pt 0.000 0.000 0.500  0.12
Fe 0.500 0.500 0.500  2.73
W 0.500 0.000 0.000  0.12